Mg3HRu PBE relaxed; symmetry = Pm-3m; E above lowest polymorph = 0.000 eV per atom; density of states at the Fermi level = 0.81 states/eV per cell; V = 71.2 Å³/cell
1.0
-2.704 2.610 -1.750
-3.112 -1.903 1.970
0.437 2.598 3.200
Ru Mg H
1 3 1
direct
0.500 0.500 0.500 Ru
0.000 0.500 0.000 Mg
0.000 0.000 0.500 Mg
0.500 0.000 0.000 Mg
0.000 0.000 0.000 H